4
Lattice="5.132 0.000 0.000 0.000 5.132 0.000 0.000 0.000 3.392" Properties=species:S:1:pos:R:3 comment="RePbBr2 (PBE, relaxed)" spacegroup="P4/mmm, No. 123" polymorph_energy_mev_per_atom=837 pbc="T T T"
Pb 2.566 0.000 1.696
Br 2.566 2.566 0.000
Br 0.000 0.000 0.000
Re 0.000 2.566 1.696



4
Lattice="3.364 0.016 0.000 -1.886 2.786 0.000 0.000 0.000 11.033" Properties=species:S:1:pos:R:3 comment="RePbBr2 (PBE, relaxed)" spacegroup="Cmmm, No. 65" polymorph_energy_mev_per_atom=309 pbc="T T T"
Br 0.000 0.000 6.279
Br 0.000 0.000 10.270
Pb 0.739 1.401 2.758
Re 0.739 1.401 8.275